No. 1
DFT (GGA-PBE) results for a geometry-optimized SmEr2In structure.

Summary:
DFT formation energy ... -92 kJ/mol of formula units
Crystal system ... tetragonal
ΔE to the lowest computed polymorph ... 24 meV per atom

```
data_SmEr2In
_symmetry_space_group_name_H-M 'P 4/m m m'
_symmetry_Int_Tables_number 123
_symmetry_space_group_name_Hall '-P 4 2'
_cell_length_a 3.5882
_cell_length_b 3.5882
_cell_length_c 9.1181
_cell_angle_alpha 90.00
_cell_angle_beta 90.00
_cell_angle_gamma 90.00
loop_
_atom_site_label
_atom_site_type_symbol
_atom_site_fract_x
_atom_site_fract_y
_atom_site_fract_z
_atom_site_occupancy
Sm1 Sm 0.0000 0.0000 0.0000 1
Er1 Er 0.5000 0.5000 0.2759 1
In1 In 0.0000 0.0000 0.5000 1
```


No. 2
DFT (GGA-PBE) results for a geometry-optimized NpAlPd2 structure.

Summary:
DFT formation energy ... -197 kJ/mol of formula units
Crystal system ... tetragonal

```
data_NpAlPd2
_symmetry_space_group_name_H-M 'P 4/m m m'
_symmetry_Int_Tables_number 123
_symmetry_space_group_name_Hall '-P 4 2'
_cell_length_a 2.9614
_cell_length_b 2.9614
_cell_length_c 7.8050
_cell_angle_alpha 90.00
_cell_angle_beta 90.00
_cell_angle_gamma 90.00
loop_
_atom_site_label
_atom_site_type_symbol
_atom_site_fract_x
_atom_site_fract_y
_atom_site_fract_z
_atom_site_occupancy
Np1 Np 0.0000 0.0000 0.0000 1
Al1 Al 0.0000 0.0000 0.5000 1
Pd1 Pd 0.5000 0.5000 0.2994 1
```


No. 3
DFT (GGA-PBE) results for a geometry-optimized Cu2SbPt structure.

Summary:
Crystal system ... tetragonal
Uncorrected formation energy ... -50.0 meV per atom

```
data_Cu2SbPt
_symmetry_space_group_name_H-M 'P 4 m m'
_symmetry_Int_Tables_number 99
_symmetry_space_group_name_Hall 'P 4 -2'
_cell_length_a 3.4299
_cell_length_b 3.4299
_cell_length_c 5.4514
_cell_angle_alpha 90.00
_cell_angle_beta 90.00
_cell_angle_gamma 90.00
loop_
_atom_site_label
_atom_site_type_symbol
_atom_site_fract_x
_atom_site_fract_y
_atom_site_fract_z
_atom_site_occupancy
Cu1 Cu 0.0000 0.0000 0.0000 1
Cu2 Cu 0.5000 0.5000 0.2078 1
Sb1 Sb 0.5000 0.5000 0.7153 1
Pt1 Pt 0.0000 0.0000 0.4677 1
```


No. 4
DFT (GGA-PBE) results for a geometry-optimized Tm4SnAsSe2 structure.

Summary:
Crystal system ... monoclinic
Uncorrected formation energy ... -1394.6 meV per atom

```
data_Tm4SnAsSe2
_symmetry_space_group_name_H-M 'P 1 2/m 1'
_symmetry_Int_Tables_number 10
_symmetry_space_group_name_Hall '-P 2y'
_cell_length_a 7.1328
_cell_length_b 4.1270
_cell_length_c 7.1749
_cell_angle_alpha 90.00
_cell_angle_beta 109.47
_cell_angle_gamma 90.00
loop_
_atom_site_label
_atom_site_type_symbol
_atom_site_fract_x
_atom_site_fract_y
_atom_site_fract_z
_atom_site_occupancy
Tm1 Tm 0.2416 0.0000 0.2411 1
Tm2 Tm 0.2490 0.5000 0.7567 1
Sn1 Sn 0.0000 0.0000 0.5000 1
As1 As 0.0000 0.5000 0.0000 1
Se1 Se 0.5000 0.0000 0.0000 1
Se2 Se 0.5000 0.5000 0.5000 1
```


no.,total moment (μB per formula unit)
1,0.000
2,4.156
3,0.000
4,0.000